{"formula": "IrPt2Br", "functional": "GGA-PBE", "state": "optimized geometry", "m_tot_mub_per_cell": 0.00, "relative_energy_ev_per_atom": 0.3712, "sg": "Pmmm, No. 47", "formation_energy_uncorrected_ev_per_atom": 0.747, "dos_at_fermi_per_ev_atom": 1.15, "cell": [[2.819, 0.000, 0.000], [0.000, 4.768, 0.000], [0.000, 0.000, 4.956]], "species": ["Ir", "Pt", "Pt", "Br"], "fractional_positions": [[0.000, 0.500, 0.500], [0.500, 0.500, 0.000], [0.000, 0.000, 0.000], [0.500, 0.000, 0.500]]}


{"formula": "PrPuMgO6", "functional": "GGA-PBE", "state": "optimized geometry", "m_tot_mub_per_cell": 2.00, "sg": "P-31c, No. 163", "formation_energy_uncorrected_ev_per_atom": -2.720, "cell": [[5.407, 0.000, 0.000], [-2.704, 4.683, 0.000], [0.000, 0.000, 10.301]], "species": ["Pu", "Pu", "O", "O", "O", "O", "O", "O", "O", "O", "O", "O", "O", "O", "Pr", "Pr", "Mg", "Mg"], "fractional_positions": [[0.667, 0.333, 0.250], [0.333, 0.667, 0.750], [0.634, 0.648, 0.642], [0.634, 0.986, 0.858], [0.986, 0.352, 0.142], [0.014, 0.648, 0.858], [0.648, 0.014, 0.358], [0.366, 0.352, 0.358], [0.352, 0.986, 0.642], [0.986, 0.634, 0.358], [0.352, 0.366, 0.858], [0.014, 0.366, 0.642], [0.648, 0.634, 0.142], [0.366, 0.014, 0.142], [0.000, 0.000, 0.000], [0.000, 0.000, 0.500], [0.333, 0.667, 0.250], [0.667, 0.333, 0.750]]}


{"formula": "CrReRu2", "functional": "GGA-PBE", "state": "optimized geometry", "m_tot_mub_per_cell": 0.02, "relative_energy_ev_per_atom": 0.2845, "formation_enthalpy_0k_mev_per_atom": 352, "sg": "Cmm2, No. 35", "dos_at_fermi_per_ev_atom": 1.67, "cell": [[-1.012, -2.417, -0.428], [2.131, -0.093, 1.582], [-5.031, 0.897, 6.828]], "species": ["Ru", "Ru", "Cr", "Re"], "fractional_positions": [[0.500, 0.500, 0.263], [0.000, 0.000, 0.999], [0.000, 0.000, 0.499], [0.500, 0.500, 0.739]]}


{"formula": "Mg2TlPb2", "functional": "GGA-PBE", "state": "optimized geometry", "m_tot_mub_per_cell": 0.00, "relative_energy_ev_per_atom": 0.0535, "formation_enthalpy_0k_mev_per_atom": 38, "sg": "C2/c, No. 15", "dos_at_fermi_per_ev_atom": 0.33, "cell": [[7.659, 0.471, 1.210], [-1.130, 7.590, 1.210], [-2.234, -2.759, 4.160]], "species": ["Tl", "Tl", "Pb", "Pb", "Pb", "Pb", "Mg", "Mg", "Mg", "Mg"], "fractional_positions": [[0.913, 0.087, 0.750], [0.087, 0.913, 0.250], [0.786, 0.608, 0.413], [0.608, 0.786, 0.913], [0.214, 0.392, 0.587], [0.392, 0.214, 0.087], [0.638, 0.362, 0.750], [0.805, 0.195, 0.250], [0.195, 0.805, 0.750], [0.362, 0.638, 0.250]]}